Below is ScSi3S after structural relaxation, with properties calculated at the PBE-GGA level.

a b c (Å): 4.5613 4.5613 4.5613
angles (deg): 90.00 90.00 90.00
Fractional positions:
Sc1 0.0000 0.0000 0.0000
Si1 0.0000 0.5000 0.5000
Si2 0.5000 0.0000 0.5000
Si3 0.5000 0.5000 0.0000
S1 0.5000 0.5000 0.5000

## Properties
total magnetic moment = 0.00 μB per cell
energy relative to the elements, uncorrected = 0.460 eV per atom
energy relative to the lowest polymorph listed for this composition = 0 meV per atom
electronic total energy = -4.886 eV per atom
N(E_F) = 3.64 states/eV per cell

Below is Sc6SiS4 after structural relaxation, with properties calculated at the PBE-GGA level.

a b c (Å): 6.3036 6.3036 18.4038
angles (deg): 90.00 90.00 145.79
Fractional positions:
Sc1 0.0000 0.0000 0.0000
Sc2 0.0000 0.0000 0.5000
Sc3 0.1701 0.8299 0.7500
Sc4 0.2725 0.7275 0.0920
Sc5 0.2725 0.7275 0.4080
Sc6 0.4483 0.5517 0.6652
Sc7 0.4483 0.5517 0.8348
Sc8 0.5517 0.4483 0.1652
Sc9 0.5517 0.4483 0.3348
Sc10 0.7275 0.2725 0.5920
Sc11 0.7275 0.2725 0.9080
Sc12 0.8299 0.1701 0.2500
Si1 0.1686 0.8314 0.2500
Si2 0.8314 0.1686 0.7500
S1 0.0870 0.9130 0.6258
S2 0.0870 0.9130 0.8742
S3 0.3597 0.6403 0.5398
S4 0.3597 0.6403 0.9602
S5 0.6403 0.3597 0.0398
S6 0.6403 0.3597 0.4602
S7 0.9130 0.0870 0.1258
S8 0.9130 0.0870 0.3742

## Properties
total magnetic moment = 0.00 μB per cell
energy relative to the elements, uncorrected = -1.540 eV per atom
electronic total energy = -6.987 eV per atom
N(E_F) = 18.29 states/eV per cell

Below is ScSiS2 after structural relaxation, with properties calculated at the PBE-GGA level.

a b c (Å): 3.5945 3.5945 23.4285
angles (deg): 90.00 90.00 120.00
Fractional positions:
Sc1 0.0000 0.0000 0.0000
Sc2 0.3333 0.6667 0.6667
Sc3 0.6667 0.3333 0.3333
Si1 0.0000 0.0000 0.5000
Si2 0.3333 0.6667 0.1667
Si3 0.6667 0.3333 0.8333
S1 0.0000 0.0000 0.3964
S2 0.0000 0.0000 0.6036
S3 0.3333 0.6667 0.0631
S4 0.3333 0.6667 0.2702
S5 0.6667 0.3333 0.7298
S6 0.6667 0.3333 0.9369

## Properties
total magnetic moment = 0.00 μB per cell
energy relative to the elements, uncorrected = -0.844 eV per atom
electronic total energy = -5.847 eV per atom
N(E_F) = 2.51 states/eV per cell